# 1
Material: KMg6Al
Method: DFT, PBE
State: relaxed

Cell lengths 5.1240, 7.6040, 10.5591 Å; angles 90.00, 90.00, 90.00 degrees
Last column: nearest neighbours and their distance in Å.
Space group Amm2 (No. 38)
Asymmetric unit:
K 0.0000 0.0000 0.0000 (multiplicity 2)  8 Mg 3.26-3.41, 2 Al 3.48
Mg 0.0000 0.0000 0.4381 (multiplicity 2)  10 Mg 3.13-3.35
Mg 0.0000 0.2000 0.7211 (multiplicity 4)  2 Al 3.04, 5 Mg 3.04-3.35, 2 K 3.26-3.31
Mg 0.5000 0.0000 0.2548 (multiplicity 2)  10 Mg 3.21-3.45
Mg 0.5000 0.2053 0.5234 (multiplicity 4)  2 Al 3.10-3.43, 7 Mg 3.12-3.32, 2 K 3.41
Al 0.5000 0.0000 0.7770 (multiplicity 2)  6 Mg 3.04-3.10

Results
- energy of formation from the pure elements (eV per formula unit) = 1.37
- density (g/cm3) = 1.71
- volume (Å³ per cell) = 411.4
- calculated total energy (eV per atom) = -1.629

# 2
Material: K2MgAl
Method: DFT, PBE
State: relaxed

Cell lengths 8.5145, 8.5145, 8.5145 Å; angles 90.00, 90.00, 90.00 degrees
Last column: nearest neighbours and their distance in Å.
Space group Fm-3m (No. 225)
Asymmetric unit:
K 0.2500 0.2500 0.2500 (multiplicity 8)  4 Mg 3.69, 4 Al 3.69
Mg 0.0000 0.0000 0.0000 (multiplicity 4)  8 K 3.69
Al 0.0000 0.0000 0.5000 (multiplicity 4)  8 K 3.69

Results
- energy of formation from the pure elements (eV per formula unit) = 1.75
- density (g/cm3) = 1.39
- volume (Å³ per cell) = 617.3
- calculated total energy (eV per atom) = -1.445

# 3
Material: KMgAl2
Method: DFT, PBE
State: relaxed

Cell lengths 3.2007, 3.2007, 32.3943 Å; angles 90.00, 90.00, 120.00 degrees
Last column: nearest neighbours and their distance in Å.
Space group R3m (No. 160, hexagonal axes)
Asymmetric unit:
K 0.0000 0.0000 0.0000 (multiplicity 3)  6 K 3.20, 3 Al 3.46
Mg 0.0000 0.0000 0.7674 (multiplicity 3)  3 Al 3.03, 6 Mg 3.20
Al 0.0000 0.0000 0.2429 (multiplicity 3)  9 Al 2.88-3.20
Al 0.0000 0.0000 0.5081 (multiplicity 3)  9 Al 2.88-3.20, 3 Mg 3.03

Results
- energy of formation from the pure elements (eV per formula unit) = 1.20
- density (g/cm3) = 2.03
- volume (Å³ per cell) = 287.4
- calculated total energy (eV per atom) = -2.243

# 4
Material: KMgAl2
Method: DFT, PBE
State: relaxed

Cell lengths 3.0504, 4.3494, 7.8611 Å; angles 90.00, 90.21, 90.00 degrees
Last column: nearest neighbours and their distance in Å.
Space group P2/m (No. 10)
Asymmetric unit:
K 0.0000 0.0000 0.0000 (multiplicity 1)  2 K 3.05
Mg 0.0000 0.0000 0.5000 (multiplicity 1)  8 Al 2.98, 2 Mg 3.05
Al 0.4987 0.5000 0.3272 (multiplicity 2)  1 Al 2.72, 4 Mg 2.98

Results
- energy of formation from the pure elements (eV per formula unit) = 0.63
- density (g/cm3) = 1.87
- volume (Å³ per cell) = 104.3
- calculated total energy (eV per atom) = -2.387

# 5
Material: KMgAl2
Method: DFT, PBE
State: relaxed

Cell lengths 7.2163, 7.2163, 7.2163 Å; angles 90.00, 90.00, 90.00 degrees
Last column: nearest neighbours and their distance in Å.
Space group F-43m (No. 216)
Asymmetric unit:
K 0.0000 0.0000 0.0000 (multiplicity 4)  4 Mg 3.12, 4 Al 3.12
Mg 0.2500 0.2500 0.2500 (multiplicity 4)  4 Al 3.12, 4 K 3.12
Al 0.0000 0.0000 0.5000 (multiplicity 4)  4 Al 3.12, 4 Mg 3.12
Al 0.2500 0.2500 0.7500 (multiplicity 4)  4 K 3.12, 4 Al 3.12

Results
- energy of formation from the pure elements (eV per formula unit) = 1.27
- density (g/cm3) = 2.07
- volume (Å³ per cell) = 375.8
- calculated total energy (eV per atom) = -2.227

# 6
Material: KMg6AlO8
Method: DFT, PBE
State: relaxed

Cell lengths 4.4125, 4.4125, 8.6428 Å; angles 90.00, 90.00, 90.00 degrees
Last column: nearest neighbours and their distance in Å.
Space group P4/mmm (No. 123)
Asymmetric unit:
K 0.0000 0.0000 0.0000 (multiplicity 1)  6 O 2.21-2.38
Mg 0.0000 0.0000 0.5000 (multiplicity 1)  2 O 1.94
Mg 0.0000 0.5000 0.2488 (multiplicity 4)  6 O 2.15-2.22
Mg 0.5000 0.5000 0.5000 (multiplicity 1)  6 O 2.21-2.39
Al 0.5000 0.5000 0.0000 (multiplicity 1)  2 O 1.93
O 0.0000 0.0000 0.2757 (multiplicity 2)  1 Mg 1.94
O 0.0000 0.5000 0.0000 (multiplicity 2)  2 Mg 2.15, 2 Al 2.21, 2 K 2.21
O 0.0000 0.5000 0.5000 (multiplicity 2)  6 Mg 2.17-2.21
O 0.5000 0.5000 0.2234 (multiplicity 2)  1 Al 1.93

Results
- density (g/cm3) = 3.35
- volume (Å³ per cell) = 168.3
- calculated total energy (eV per atom) = -5.678
- uncorrected formation energy (eV per atom) = -2.298
- relative energy among the computed polymorphs (eV per atom) = 0.063